# CrRe2, optimized geometry, DFT PBE
data_CrRe2
_chemical_formula_sum 'Cr4 Re8'
_cell_length_a 3.8281
_cell_length_b 11.4462
_cell_length_c 3.8645
_cell_angle_alpha 90.00
_cell_angle_beta 90.00
_cell_angle_gamma 90.00
_space_group_name_H-M_alt 'C m c m'
_space_group_IT_number 63
_space_group_name_Hall '-C 2c 2'
loop_
_atom_site_label
_atom_site_fract_x
_atom_site_fract_y
_atom_site_fract_z
Cr1 0.0000 0.0815 0.2500
Re1 0.0000 0.2481 0.7500
Re2 0.0000 0.4192 0.2500
# Calculated total energy: -11.35 eV per atom

# CrRe5, optimized geometry, DFT PBE
data_CrRe5
_chemical_formula_sum 'Cr2 Re10'
_cell_length_a 10.1254
_cell_length_b 2.7647
_cell_length_c 6.4826
_cell_angle_alpha 90.00
_cell_angle_beta 105.31
_cell_angle_gamma 90.00
_space_group_name_H-M_alt 'C 1 m 1'
_space_group_IT_number 8
loop_
_space_group_symop_operation_xyz
'x,y,z'
'x,-y,z'
'x+1/2,y+1/2,z'
'x+1/2,-y+1/2,z'
loop_
_atom_site_label
_atom_site_fract_x
_atom_site_fract_y
_atom_site_fract_z
Cr1 0.0000 0.0000 0.0000
Re1 0.0535 0.0000 0.6096
Re2 0.1633 0.5000 0.3268
Re3 0.2177 0.5000 0.9411
Re4 0.3360 0.0000 0.6689
Re5 0.3898 0.0000 0.2671
# Calculated total energy: -11.88 eV per atom

# CrRe5, optimized geometry, DFT PBE
data_CrRe5
_chemical_formula_sum 'Cr1 Re5'
_cell_length_a 5.0762
_cell_length_b 5.0762
_cell_length_c 4.5505
_cell_angle_alpha 90.00
_cell_angle_beta 90.00
_cell_angle_gamma 120.00
_space_group_name_H-M_alt 'P 6/m m m'
_space_group_IT_number 191
_space_group_name_Hall '-P 6 2'
loop_
_atom_site_label
_atom_site_fract_x
_atom_site_fract_y
_atom_site_fract_z
Cr1 0.0000 0.0000 0.0000
Re1 0.0000 0.5000 0.5000
Re2 0.3333 0.6667 0.0000
# Calculated total energy: -11.35 eV per atom

# CrRe, optimized geometry, DFT PBE
data_CrRe
_chemical_formula_sum 'Cr4 Re4'
_cell_length_a 5.4328
_cell_length_b 5.4328
_cell_length_c 5.4328
_cell_angle_alpha 90.00
_cell_angle_beta 90.00
_cell_angle_gamma 90.00
_space_group_name_H-M_alt 'F -4 3 m'
_space_group_IT_number 216
_space_group_name_Hall 'F -4 2 3'
loop_
_atom_site_label
_atom_site_fract_x
_atom_site_fract_y
_atom_site_fract_z
Cr1 0.0000 0.0000 0.0000
Re1 0.2500 0.2500 0.7500
# Calculated total energy: -9.15 eV per atom

# CrRe4, optimized geometry, DFT PBE
data_CrRe4
_chemical_formula_sum 'Cr2 Re8'
_cell_length_a 4.1564
_cell_length_b 4.1564
_cell_length_c 10.6272
_cell_angle_alpha 90.00
_cell_angle_beta 90.00
_cell_angle_gamma 90.00
_space_group_name_H-M_alt 'I 4/m m m'
_space_group_IT_number 139
_space_group_name_Hall '-I 4 2'
loop_
_atom_site_label
_atom_site_fract_x
_atom_site_fract_y
_atom_site_fract_z
Cr1 0.0000 0.0000 0.0000
Re1 0.0000 0.0000 0.3830
Re2 0.0000 0.5000 0.2500
# Calculated total energy: -11.16 eV per atom

# CrRe2, optimized geometry, DFT PBE
data_CrRe2
_chemical_formula_sum 'Cr1 Re2'
_cell_length_a 4.2825
_cell_length_b 4.2825
_cell_length_c 2.6579
_cell_angle_alpha 90.00
_cell_angle_beta 90.00
_cell_angle_gamma 120.00
_space_group_name_H-M_alt 'P -3 m 1'
_space_group_IT_number 164
_space_group_name_Hall '-P 3 2"'
loop_
_atom_site_label
_atom_site_fract_x
_atom_site_fract_y
_atom_site_fract_z
Cr1 0.0000 0.0000 0.0000
Re1 0.3333 0.6667 0.3051
# Calculated total energy: -11.37 eV per atom

# CrRe4, optimized geometry, DFT PBE
data_CrRe4
_chemical_formula_sum 'Cr1 Re4'
_cell_length_a 4.3769
_cell_length_b 4.3769
_cell_length_c 4.3769
_cell_angle_alpha 90.00
_cell_angle_beta 90.00
_cell_angle_gamma 90.00
_space_group_name_H-M_alt 'P m -3 m'
_space_group_IT_number 221
_space_group_name_Hall '-P 4 2 3'
loop_
_atom_site_label
_atom_site_fract_x
_atom_site_fract_y
_atom_site_fract_z
Cr1 0.0000 0.0000 0.0000
Re1 0.0000 0.0000 0.5000
Re2 0.5000 0.5000 0.5000
# Calculated total energy: -10.16 eV per atom

# Cr2Re, optimized geometry, DFT PBE
data_Cr2Re
_chemical_formula_sum 'Cr2 Re1'
_cell_length_a 4.1424
_cell_length_b 4.1424
_cell_length_c 2.9166
_cell_angle_alpha 90.00
_cell_angle_beta 90.00
_cell_angle_gamma 90.00
_space_group_name_H-M_alt 'P 4/m m m'
_space_group_IT_number 123
_space_group_name_Hall '-P 4 2'
loop_
_atom_site_label
_atom_site_fract_x
_atom_site_fract_y
_atom_site_fract_z
Cr1 0.0000 0.5000 0.0000
Re1 0.0000 0.0000 0.5000
# Calculated total energy: -9.68 eV per atom